The following is a PBE-GGA calculation of a relaxed structure of Li2PmHoHg4, from the Alexandria database.

For the density of states at the Fermi level, the calculation gives 17.24 states/eV per cell. The value obtained for the energy of formation is -0.443 eV/atom.

It has space group R-3m (No. 166, hexagonal axes), with a = 5.0536 Å, b = 5.0536 Å, c = 24.8992 Å, α = 90.00°, β = 90.00° and γ = 120.00°. The asymmetric unit holds Li at (0.0000, 0.0000, 0.2485), Pm at (0.0000, 0.0000, 0.0000), Ho at (0.0000, 0.0000, 0.5000), Hg at (0.0000, 0.0000, 0.1269) and Hg at (0.0000, 0.0000, 0.3778).


The following is a PBE-GGA calculation of a relaxed structure of Tb3Pr3NdS8, from the Alexandria database.

For the density of states at the Fermi level, the calculation gives 20.38 states/eV per cell. The calculation puts the formation energy from raw total energies at -2.0400 eV per atom.

It has space group R-3m (No. 166, hexagonal axes), with a = 7.9951 Å, b = 7.9951 Å, c = 19.8294 Å, α = 90.00°, β = 90.00° and γ = 120.00°. The asymmetric unit holds Tb at (0.0000, 0.5000, 0.0000), Pr at (0.0000, 0.5000, 0.5000), Nd at (0.0000, 0.0000, 0.0000), S at (0.0000, 0.0000, 0.2552) and S at (0.0103, 0.5051, 0.2528).


The following is a PBE-GGA calculation of a relaxed structure of Hf2Sc, from the Alexandria database.

For the density of states at the Fermi level, the calculation gives 63.05 states/eV per cell. The value obtained for the energy of formation is 0.333 eV/atom. The value obtained for the polymorph energy (0 for the lowest one) is 342 meV per atom.

It has space group Fd-3m (No. 227, origin choice 2), with a = 8.342 Å, b = 8.342 Å, c = 8.342 Å, α = 90.00°, β = 90.00° and γ = 90.00°. The asymmetric unit holds Hf at (0.000, 0.000, 0.000) and Sc at (0.125, 0.125, 0.625).


no.,total magnetization (μB per atom)
1,0.00
2,0.00
3,0.61